Record 1
Entry from the Alexandria database: crystalline SiSn3Os at its relaxed geometry (PBE).

- excess energy over the best structure of this formula in the dataset (meV/atom) = 766
- formation energy (no corrections) (meV per atom) = 1409
- total magnetization (μB per formula unit) = 1.807
- energy (eV per cell) = -21.6

abc: 5.038 5.038 5.038
angles: 90.00 90.00 90.00
Positions (direct):
Sn1 0.500 0.000 0.000
Sn2 0.000 0.500 0.000
Sn3 0.000 0.000 0.500
Si1 0.000 0.000 0.000
Os1 0.500 0.500 0.500



Record 2
Entry from the Alexandria database: crystalline SiSn2Os2 at its relaxed geometry (PBE).

- excess energy over the best structure of this formula in the dataset (meV/atom) = 27
- formation energy (no corrections) (meV per atom) = 766
- total magnetization (μB per formula unit) = 0.000
- energy (eV per cell) = -32.1

abc: 3.586 3.586 8.405
angles: 77.68 77.68 90.00
Positions (direct):
Sn1 0.393 0.393 0.214
Sn2 0.607 0.607 0.786
Os1 0.250 0.750 0.500
Os2 0.750 0.250 0.500
Si1 0.000 0.000 0.000



Record 3
Entry from the Alexandria database: crystalline Zn2SiSnOs at its relaxed geometry (PBE).

- formation energy (no corrections) (meV per atom) = 368
- total magnetization (μB per formula unit) = 0.000
- energy (eV per cell) = -21.4

abc: 4.903 4.543 4.903
angles: 90.00 90.00 90.00
Positions (direct):
Zn1 0.500 0.000 0.000
Zn2 0.000 0.000 0.500
Si1 0.000 0.500 0.000
Sn1 0.500 0.500 0.500
Os1 0.000 0.000 0.000



Record 4
Entry from the Alexandria database: crystalline Sr2SiOs at its relaxed geometry (PBE).

- formation energy (no corrections) (meV per atom) = 572
- total magnetization (μB per formula unit) = 1.069
- energy (eV per cell) = -17.7

abc: 3.268 3.268 9.104
angles: 90.00 90.00 89.98
Positions (direct):
Sr1 0.000 0.000 0.008
Sr2 0.000 0.000 0.492
Si1 0.500 0.500 0.750
Os1 0.500 0.500 0.250



Record 5
Entry from the Alexandria database: crystalline Sr2SiOs at its relaxed geometry (PBE).

- formation energy (no corrections) (meV per atom) = 117
- total magnetization (μB per formula unit) = 0.000
- energy (eV per cell) = -39.1

abc: 11.258 11.258 8.289
angles: 47.23 47.23 90.00
Positions (direct):
Sr1 0.809 0.125 0.250
Sr2 0.375 0.191 0.750
Sr3 0.875 0.059 0.750
Sr4 0.941 0.625 0.250
Si1 0.500 0.500 0.000
Si2 0.250 0.750 0.500
Os1 0.000 0.000 0.000
Os2 0.750 0.250 0.500



Record 6
Entry from the Alexandria database: crystalline SrSiOs2 at its relaxed geometry (PBE).

- formation energy (no corrections) (meV per atom) = 352
- total magnetization (μB per formula unit) = 0.000
- energy (eV per cell) = -56.3

abc: 4.875 4.875 8.920
angles: 74.14 74.14 90.00
Positions (direct):
Os1 0.875 0.620 0.750
Os2 0.370 0.125 0.250
Os3 0.375 0.630 0.750
Os4 0.380 0.625 0.250
Sr1 0.000 0.000 0.000
Sr2 0.750 0.250 0.500
Si1 0.500 0.500 0.000
Si2 0.250 0.750 0.500



Record 7
Entry from the Alexandria database: crystalline SrSiOs2 at its relaxed geometry (PBE).

- formation energy (no corrections) (meV per atom) = 629
- total magnetization (μB per formula unit) = 0.000
- energy (eV per cell) = -27.0

abc: 5.833 5.833 5.833
angles: 151.51 129.07 59.39
Positions (direct):
Os1 0.041 0.041 0.000
Os2 0.257 0.757 0.500
Sr1 0.744 0.244 0.500
Si1 0.458 0.458 0.000



Record 8
Entry from the Alexandria database: crystalline SrSiOs at its relaxed geometry (PBE).

- formation energy (no corrections) (meV per atom) = -98
- total magnetization (μB per formula unit) = 0.000
- energy (eV per cell) = -18.6

abc: 6.150 6.150 3.223
angles: 74.81 74.81 30.38
Positions (direct):
Si1 0.376 0.376 0.624
Os1 0.959 0.959 0.041
Sr1 0.664 0.664 0.336



Record 9
Entry from the Alexandria database: crystalline Sr2SiOs at its relaxed geometry (PBE).

- formation energy (no corrections) (meV per atom) = 39
- total magnetization (μB per formula unit) = 0.000
- energy (eV per cell) = -19.9

abc: 3.334 3.334 9.187
angles: 90.00 90.00 90.00
Positions (direct):
Si1 0.500 0.500 0.678
Sr1 0.500 0.500 0.330
Sr2 0.000 0.000 0.919
Os1 0.000 0.000 0.574



Record 10
Entry from the Alexandria database: crystalline Sr2SiOs at its relaxed geometry (PBE).

- formation energy (no corrections) (meV per atom) = 557
- total magnetization (μB per formula unit) = 0.002
- energy (eV per cell) = -17.8

abc: 4.525 3.037 7.518
angles: 66.24 90.00 90.00
Positions (direct):
Si1 0.500 0.750 0.750
Sr1 0.000 0.001 0.000
Sr2 0.000 0.499 0.500
Os1 0.500 0.250 0.250



Record 11
Entry from the Alexandria database: crystalline SrSiOs2 at its relaxed geometry (PBE).

- formation energy (no corrections) (meV per atom) = 926
- total magnetization (μB per formula unit) = 1.118
- energy (eV per cell) = -25.9

abc: 4.659 4.659 4.659
angles: 120.86 120.86 88.52
Positions (direct):
Si1 0.500 0.500 0.000
Os1 0.250 0.750 0.500
Os2 0.000 0.000 0.000
Sr1 0.750 0.250 0.500



Record 12
Entry from the Alexandria database: crystalline SrSi4Os at its relaxed geometry (PBE).

- formation energy (no corrections) (meV per atom) = 581
- total magnetization (μB per formula unit) = 0.000
- energy (eV per cell) = -31.1

abc: 5.250 5.250 5.250
angles: 60.00 60.00 60.00
Positions (direct):
Os1 0.000 0.000 0.000
Si1 0.886 0.371 0.371
Si2 0.371 0.886 0.371
Si3 0.371 0.371 0.886
Si4 0.371 0.371 0.371
Sr1 0.750 0.750 0.750